[1]
Material: Nb2CrRh4
Method: DFT, PBE
State: relaxed

The formation energy comes out at 0.69 eV per atom. The value obtained for the density of states at the Fermi level is 1.357 states/eV/atom.

The space group is I4/mmm (No. 139) and the conventional cell measures 4.443, 4.443 and 12.848 Å, with angles of 90.00, 90.00 and 90.00 degrees. The inequivalent atoms are Nb at (0.000, 0.000, 0.130), Cr at (0.000, 0.000, 0.500), Rh at (0.000, 0.000, 0.311) and Rh at (0.000, 0.500, 0.000).



[2]
Material: ScTlMo3
Method: DFT, PBE
State: relaxed

The formation energy comes out at 1.84 eV per atom. The value obtained for the density of states at the Fermi level is 1.099 states/eV/atom.

The space group is Pm-3m (No. 221) and the conventional cell measures 4.694, 4.694 and 4.694 Å, with angles of 90.00, 90.00 and 90.00 degrees. The inequivalent atoms are Sc at (0.000, 0.000, 0.000), Tl at (0.500, 0.500, 0.500) and Mo at (0.000, 0.000, 0.500).



[3]
Material: NbAg3Ir
Method: DFT, PBE
State: relaxed

The formation energy comes out at 2.21 eV per atom. The value obtained for the density of states at the Fermi level is 1.526 states/eV/atom.

The space group is Pm-3m (No. 221) and the conventional cell measures 4.997, 4.997 and 4.997 Å, with angles of 90.00, 90.00 and 90.00 degrees. The inequivalent atoms are Nb at (0.000, 0.000, 0.000), Ag at (0.000, 0.000, 0.500) and Ir at (0.500, 0.500, 0.500).



[4]
Material: MnSbIrI2
Method: DFT, PBE
State: relaxed

The value obtained for the density of states at the Fermi level is 1.545 states/eV/atom. Its formation energy (no corrections) is 648 kJ/mol of formula units.

The space group is P4/mmm (No. 123) and the conventional cell measures 5.045, 5.045 and 4.919 Å, with angles of 90.00, 90.00 and 90.00 degrees. The inequivalent atoms are Mn at (0.000, 0.000, 0.000), Sb at (0.000, 0.000, 0.500), Ir at (0.500, 0.500, 0.500) and I at (0.000, 0.500, 0.000).



[5]
Material: Pa3GeTe3
Method: DFT, PBE
State: relaxed

The value obtained for the density of states at the Fermi level is 1.745 states/eV/atom. Its formation energy (no corrections) is -253 kJ/mol of formula units.

The space group is C2/m (No. 12) and the conventional cell measures 9.014, 11.996 and 7.790 Å, with angles of 90.00, 95.27 and 90.00 degrees. The inequivalent atoms are Pa at (0.043, 0.000, 0.192), Pa at (0.166, 0.351, 0.333), Ge at (0.238, 0.500, 0.075), Te at (0.000, 0.159, 0.500), Te at (0.000, 0.240, 0.000) and Te at (0.127, 0.500, 0.669).



[6]
Material: MgTe4P
Method: DFT, PBE
State: relaxed

The value obtained for the density of states at the Fermi level is 0.585 states/eV/atom. Its formation energy (no corrections) is 376 kJ/mol of formula units.

The space group is F-43m (No. 216) and the conventional cell measures 8.839, 8.839 and 8.839 Å, with angles of 90.00, 90.00 and 90.00 degrees. The inequivalent atoms are Mg at (0.000, 0.000, 0.000), Te at (0.124, 0.124, 0.376) and P at (0.250, 0.250, 0.750).



[7]
Material: ScTlPd
Method: DFT, PBE
State: relaxed

The formation energy comes out at -0.42 eV per atom. The value obtained for the density of states at the Fermi level is 1.316 states/eV/atom.

The space group is F-43m (No. 216) and the conventional cell measures 6.498, 6.498 and 6.498 Å, with angles of 90.00, 90.00 and 90.00 degrees. The inequivalent atoms are Sc at (0.000, 0.000, 0.000), Tl at (0.000, 0.000, 0.500) and Pd at (0.250, 0.250, 0.250).



[8]
Material: Gd2ZrSn
Method: DFT, PBE
State: relaxed

The formation energy comes out at 0.10 eV per atom. The value obtained for the density of states at the Fermi level is 1.283 states/eV/atom.

The space group is R-3m (No. 166, hexagonal axes) and the conventional cell measures 3.4126, 3.4126 and 35.0372 Å, with angles of 90.00, 90.00 and 120.00 degrees. The inequivalent atoms are Gd at (0.0000, 0.0000, 0.0909), Zr at (0.0000, 0.0000, 0.5000) and Sn at (0.0000, 0.0000, 0.0000).



[9]
Material: ZnCoRe
Method: DFT, PBE
State: relaxed

The formation energy comes out at 0.21 eV per atom. The value obtained for the density of states at the Fermi level is 1.093 states/eV/atom.

The space group is Fmm2 (No. 42) and the conventional cell measures 2.936, 4.332 and 12.800 Å, with angles of 90.00, 90.00 and 90.00 degrees. The inequivalent atoms are Zn at (0.000, 0.000, 0.000), Co at (0.000, 0.000, 0.660) and Re at (0.000, 0.000, 0.319).



[10]
Material: AlCd2CuOs
Method: DFT, PBE
State: relaxed

The formation energy comes out at 1.45 eV per atom. The value obtained for the density of states at the Fermi level is 0.662 states/eV/atom.

The space group is P4/mmm (No. 123) and the conventional cell measures 4.919, 4.919 and 4.397 Å, with angles of 90.00, 90.00 and 90.00 degrees. The inequivalent atoms are Al at (0.000, 0.000, 0.000), Cd at (0.000, 0.500, 0.000), Cu at (0.000, 0.000, 0.500) and Os at (0.500, 0.500, 0.500).



[11]
Material: LiTaPb
Method: DFT, PBE
State: relaxed

The formation energy comes out at 0.47 eV per atom. The value obtained for the density of states at the Fermi level is 0.857 states/eV/atom.

The space group is P-6m2 (No. 187) and the conventional cell measures 4.6145, 4.6145 and 3.0830 Å, with angles of 90.00, 90.00 and 120.00 degrees. The inequivalent atoms are Li at (0.0000, 0.0000, 0.0000), Ta at (0.3333, 0.6667, 0.5000) and Pb at (0.6667, 0.3333, 0.0000).



[12]
Material: YTcIr2
Method: DFT, PBE
State: relaxed

The formation energy comes out at -0.08 eV per atom. The value obtained for the density of states at the Fermi level is 1.101 states/eV/atom.

The space group is Immm (No. 71) and the conventional cell measures 4.147, 4.163 and 7.896 Å, with angles of 90.00, 90.00 and 90.00 degrees. The inequivalent atoms are Y at (0.000, 0.000, 0.000), Tc at (0.000, 0.000, 0.500) and Ir at (0.000, 0.500, 0.250).



[13]
Material: BeCrSe2
Method: DFT, PBE
State: relaxed

The value obtained for the density of states at the Fermi level is 0.114 states/eV/atom. Its formation energy (no corrections) is -116 kJ/mol of formula units.

The space group is Pmm2 (No. 25) and the conventional cell measures 3.699, 5.031 and 3.921 Å, with angles of 90.00, 90.00 and 90.00 degrees. The inequivalent atoms are Be at (0.000, 0.000, 0.000), Cr at (0.500, 0.500, 0.634), Se at (0.000, 0.500, 0.149) and Se at (0.500, 0.000, 0.696).



[14]
Material: PmTcN3
Method: DFT, PBE
State: relaxed

The value obtained for the density of states at the Fermi level is 0.761 states/eV/atom. Its formation energy (no corrections) is -202 kJ/mol of formula units.

The space group is Pm-3m (No. 221) and the conventional cell measures 3.935, 3.935 and 3.935 Å, with angles of 90.00, 90.00 and 90.00 degrees. The inequivalent atoms are Pm at (0.000, 0.000, 0.000), Tc at (0.500, 0.500, 0.500) and N at (0.000, 0.500, 0.500).



[15]
Material: AlAsP2
Method: DFT, PBE
State: relaxed

The formation energy comes out at 0.01 eV per atom. The value obtained for the density of states at the Fermi level is 0.215 states/eV/atom.

The space group is I-42d (No. 122) and the conventional cell measures 5.601, 5.601 and 11.602 Å, with angles of 90.00, 90.00 and 90.00 degrees. The inequivalent atoms are Al at (0.000, 0.000, 0.000), As at (0.000, 0.000, 0.500) and P at (0.226, 0.250, 0.125).



[16]
Material: AlReAu
Method: DFT, PBE
State: relaxed

The formation energy comes out at 0.07 eV per atom. The value obtained for the density of states at the Fermi level is 0.818 states/eV/atom.

The space group is P3m1 (No. 156) and the conventional cell measures 2.8540, 2.8540 and 6.6900 Å, with angles of 90.00, 90.00 and 120.00 degrees. The inequivalent atoms are Al at (0.0000, 0.0000, 0.0000), Re at (0.3333, 0.6667, 0.6898) and Au at (0.6667, 0.3333, 0.3266).



[17]
Material: Pm3Al7Rh4
Method: DFT, PBE
State: relaxed

The formation energy comes out at -0.79 eV per atom. The value obtained for the density of states at the Fermi level is 0.553 states/eV/atom.

The space group is C2/m (No. 12) and the conventional cell measures 15.541, 4.292 and 9.562 Å, with angles of 90.00, 124.92 and 90.00 degrees. The inequivalent atoms are Pm at (0.000, 0.000, 0.000), Pm at (0.192, 0.500, 0.697), Al at (0.000, 0.000, 0.500), Al at (0.005, 0.500, 0.292), Al at (0.154, 0.000, 0.420), Al at (0.184, 0.500, 0.023), Rh at (0.109, 0.000, 0.834) and Rh at (0.163, 0.500, 0.287).



[18]
Material: Zr4CdPb
Method: DFT, PBE
State: relaxed

The formation energy comes out at 0.01 eV per atom. The value obtained for the density of states at the Fermi level is 1.147 states/eV/atom.

The space group is C2/c (No. 15) and the conventional cell measures 14.099, 5.759 and 7.781 Å, with angles of 90.00, 116.91 and 90.00 degrees. The inequivalent atoms are Zr at (0.084, 0.131, 0.167), Zr at (0.173, 0.320, 0.583), Cd at (0.250, 0.250, 0.000) and Pb at (0.000, 0.365, 0.750).



[19]
Material: BaGa4PdPt2
Method: DFT, PBE
State: relaxed

The formation energy comes out at -0.66 eV per atom. The value obtained for the density of states at the Fermi level is 0.302 states/eV/atom.

The space group is R-3m (No. 166, hexagonal axes) and the conventional cell measures 4.3536, 4.3536 and 29.2730 Å, with angles of 90.00, 90.00 and 120.00 degrees. The inequivalent atoms are Ba at (0.0000, 0.0000, 0.0000), Ga at (0.0000, 0.0000, 0.1332), Ga at (0.0000, 0.0000, 0.4086), Pd at (0.0000, 0.0000, 0.5000) and Pt at (0.0000, 0.0000, 0.2269).



[20]
Material: Li3TbPd2
Method: DFT, PBE
State: relaxed

The formation energy comes out at -0.49 eV per atom. The value obtained for the density of states at the Fermi level is 0.380 states/eV/atom.

The space group is C2/m (No. 12) and the conventional cell measures 13.722, 4.147 and 8.434 Å, with angles of 90.00, 118.84 and 90.00 degrees. The inequivalent atoms are Li at (0.060, 0.000, 0.395), Li at (0.082, 0.500, 0.691), Li at (0.220, 0.500, 0.550), Tb at (0.135, 0.000, 0.021), Pd at (0.063, 0.500, 0.189) and Pd at (0.210, 0.000, 0.745).



[21]
Material: RbSc2Hg
Method: DFT, PBE
State: relaxed

The formation energy comes out at 0.61 eV per atom. The value obtained for the density of states at the Fermi level is 1.016 states/eV/atom.

The space group is I4_1/amd (No. 141, origin choice 2) and the conventional cell measures 5.986, 5.986 and 19.495 Å, with angles of 90.00, 90.00 and 90.00 degrees. The inequivalent atoms are Rb at (0.000, 0.250, 0.375), Sc at (0.000, 0.000, 0.000) and Hg at (0.000, 0.250, 0.875).



[22]
Material: Ac6GaIr2
Method: DFT, PBE
State: relaxed

The formation energy comes out at -0.37 eV per atom. The value obtained for the density of states at the Fermi level is 0.987 states/eV/atom.

The space group is C2/m (No. 12) and the conventional cell measures 14.250, 5.797 and 10.074 Å, with angles of 90.00, 121.34 and 90.00 degrees. The inequivalent atoms are Ac at (0.020, 0.000, 0.200), Ac at (0.149, 0.500, 0.555), Ac at (0.214, 0.500, 0.111), Ga at (0.000, 0.000, 0.500) and Ir at (0.185, 0.000, 0.105).



[23]
Material: SrNd2RuO8
Method: DFT, PBE
State: relaxed

The value obtained for the density of states at the Fermi level is 0.283 states/eV/atom. Its formation energy (no corrections) is -2460 kJ/mol of formula units.

The space group is P-1 (No. 2) and the conventional cell measures 4.342, 5.265 and 7.132 Å, with angles of 90.02, 107.24 and 90.26 degrees. The inequivalent atoms are Sr at (0.000, 0.000, 0.000), Nd at (0.370, 0.493, 0.704), Ru at (0.000, 0.000, 0.500), O at (0.170, 0.505, 0.999), O at (0.179, 0.713, 0.393), O at (0.201, 0.242, 0.378) and O at (0.353, 0.012, 0.755).



[24]
Material: PmNb2Ga4
Method: DFT, PBE
State: relaxed

The formation energy comes out at -0.38 eV per atom. The value obtained for the density of states at the Fermi level is 0.327 states/eV/atom.

The space group is Immm (No. 71) and the conventional cell measures 3.667, 4.028 and 17.722 Å, with angles of 90.00, 90.00 and 90.00 degrees. The inequivalent atoms are Pm at (0.000, 0.000, 0.000), Nb at (0.000, 0.500, 0.195), Ga at (0.000, 0.000, 0.427) and Ga at (0.000, 0.500, 0.345).



[25]
Material: CuAuCl2
Method: DFT, PBE
State: relaxed

The value obtained for the density of states at the Fermi level is 0.214 states/eV/atom. Its formation energy (no corrections) is -12 kJ/mol of formula units.

The space group is Cmmm (No. 65) and the conventional cell measures 3.257, 6.646 and 7.882 Å, with angles of 90.00, 90.00 and 90.00 degrees. The inequivalent atoms are Cu at (0.000, 0.000, 0.000), Au at (0.000, 0.000, 0.500) and Cl at (0.000, 0.500, 0.212).



[26]
Material: Zr2OsBr
Method: DFT, PBE
State: relaxed

The value obtained for the density of states at the Fermi level is 1.154 states/eV/atom. Its formation energy (no corrections) is 236 kJ/mol of formula units.

The space group is F-43m (No. 216) and the conventional cell measures 6.793, 6.793 and 6.793 Å, with angles of 90.00, 90.00 and 90.00 degrees. The inequivalent atoms are Zr at (0.000, 0.000, 0.000), Zr at (0.250, 0.250, 0.250), Os at (0.250, 0.250, 0.750) and Br at (0.000, 0.000, 0.500).